! Zr2N (PBE-GGA, optimized geometry); values from VASP
! V ... 227.7 Å³/cell
! Calculated total energy ... -0.292 hartree per atom
&SYSTEM
  ibrav = 0, nat = 6, ntyp = 2
/
ATOMIC_SPECIES
Zr 91.22 Zr.upf
N 14.01 N.upf
ATOMIC_POSITIONS crystal
Zr 0.375 0.375 0.375
Zr 0.375 0.375 0.875
Zr 0.375 0.875 0.375
Zr 0.875 0.375 0.375
N 0.250 0.250 0.250
N 0.500 0.500 0.500
CELL_PARAMETERS angstrom
3.427 1.979 5.597
-3.427 1.979 5.597
0.000 -3.957 5.597

***

! PaHgNO (PBE-GGA, optimized geometry); values from VASP
! V ... 172.0 Å³/cell
! Calculated total energy ... -0.244 hartree per atom
&SYSTEM
  ibrav = 0, nat = 8, ntyp = 4
/
ATOMIC_SPECIES
Pa 231.04 Pa.upf
O 16.00 O.upf
Hg 200.59 Hg.upf
N 14.01 N.upf
ATOMIC_POSITIONS crystal
Pa 0.500 0.143 0.512
Pa 0.500 0.857 0.012
O 0.500 0.917 0.733
O 0.500 0.083 0.233
Hg 0.000 0.698 0.467
Hg 0.000 0.302 0.967
N 0.000 0.682 0.034
N 0.000 0.318 0.534
CELL_PARAMETERS angstrom
-2.630 1.235 -2.418
-4.294 -1.176 4.071
0.721 6.973 2.776

***

! SmEr2I2 (PBE-GGA, optimized geometry); values from VASP
! V ... 178.5 Å³/cell
! Calculated total energy ... -0.121 hartree per atom
&SYSTEM
  ibrav = 0, nat = 5, ntyp = 3
/
ATOMIC_SPECIES
I 126.90 I.upf
Sm 150.36 Sm.upf
Er 167.26 Er.upf
ATOMIC_POSITIONS crystal
I 0.313 0.313 0.000
I 0.687 0.687 0.000
Sm 0.000 0.000 0.000
Er 0.500 0.000 0.500
Er 0.000 0.500 0.500
CELL_PARAMETERS angstrom
0.978 -6.442 0.104
-5.995 -1.863 1.750
1.387 3.916 -5.021

***

! BaSrTm (PBE-GGA, optimized geometry); values from VASP
! V ... 167.9 Å³/cell
! Calculated total energy ... -0.074 hartree per atom
&SYSTEM
  ibrav = 0, nat = 3, ntyp = 3
/
ATOMIC_SPECIES
Tm 168.93 Tm.upf
Ba 137.33 Ba.upf
Sr 87.62 Sr.upf
ATOMIC_POSITIONS crystal
Tm 0.000 0.000 0.000
Ba 0.250 0.250 0.250
Sr 0.750 0.750 0.750
CELL_PARAMETERS angstrom
4.794 -0.833 -3.831
3.414 -5.152 0.386
-0.319 -4.268 -4.476

***

! PrAsW (PBE-GGA, optimized geometry); values from VASP
! V ... 84.8 Å³/cell
! Calculated total energy ... -0.226 hartree per atom
&SYSTEM
  ibrav = 0, nat = 3, ntyp = 3
/
ATOMIC_SPECIES
As 74.92 As.upf
Pr 140.91 Pr.upf
W 183.84 W.upf
ATOMIC_POSITIONS crystal
As 0.250 0.250 0.250
Pr 0.000 0.000 0.000
W 0.750 0.750 0.750
CELL_PARAMETERS angstrom
2.466 1.424 4.027
-2.466 1.424 4.027
0.000 -2.847 4.027

***

! ErTm2Fe2B2N3 (PBE-GGA, optimized geometry); values from VASP
! V ... 116.8 Å³/cell
! Calculated total energy ... -0.296 hartree per atom
&SYSTEM
  ibrav = 0, nat = 10, ntyp = 5
/
ATOMIC_SPECIES
Tm 168.93 Tm.upf
N 14.01 N.upf
Fe 55.84 Fe.upf
B 10.81 B.upf
Er 167.26 Er.upf
ATOMIC_POSITIONS crystal
Tm 0.621 0.621 0.000
Tm 0.379 0.379 0.000
N 0.500 0.500 0.000
N 0.114 0.114 0.000
N 0.886 0.886 0.000
Fe 0.250 0.750 0.500
Fe 0.750 0.250 0.500
B 0.813 0.813 0.000
B 0.187 0.187 0.000
Er 0.000 0.000 0.000
CELL_PARAMETERS angstrom
-9.253 -0.487 4.710
-10.151 2.103 0.761
9.194 -2.823 -3.942

***

! Y2HoMg3Tl2Zn (PBE-GGA, optimized geometry); values from VASP
! V ... 221.7 Å³/cell
! Calculated total energy ... -0.127 hartree per atom
&SYSTEM
  ibrav = 0, nat = 9, ntyp = 5
/
ATOMIC_SPECIES
Tl 204.38 Tl.upf
Mg 24.30 Mg.upf
Ho 164.93 Ho.upf
Y 88.91 Y.upf
Zn 65.41 Zn.upf
ATOMIC_POSITIONS crystal
Tl 0.500 0.666 0.334
Tl 0.500 0.334 0.666
Mg 0.500 0.000 0.764
Mg 0.500 0.235 0.235
Mg 0.500 0.764 0.000
Ho 0.000 0.585 0.585
Y 0.000 0.416 0.000
Y 0.000 0.000 0.416
Zn 0.000 0.998 0.998
CELL_PARAMETERS angstrom
-0.715 -1.325 4.285
6.400 -3.914 -0.142
0.045 7.166 2.223

***

! ZnCdRe2 (PBE-GGA, optimized geometry); values from VASP
! V ... 62.6 Å³/cell
! Formation energy from the elements ... 0.494 eV/atom
! Calculated total energy ... -0.230 hartree per atom
&SYSTEM
  ibrav = 0, nat = 4, ntyp = 3
/
ATOMIC_SPECIES
Re 186.21 Re.upf
Cd 112.41 Cd.upf
Zn 65.41 Zn.upf
ATOMIC_POSITIONS crystal
Re 0.750 0.750 0.750
Re 0.000 0.000 0.000
Cd 0.250 0.250 0.250
Zn 0.500 0.500 0.500
CELL_PARAMETERS angstrom
0.000 3.151 3.151
3.151 0.000 3.151
3.151 3.151 0.000

***

! ScGaIr (PBE-GGA, optimized geometry); values from VASP
! V ... 59.6 Å³/cell
! Calculated total energy ... -0.226 hartree per atom
&SYSTEM
  ibrav = 0, nat = 3, ntyp = 3
/
ATOMIC_SPECIES
Ga 69.72 Ga.upf
Sc 44.96 Sc.upf
Ir 192.22 Ir.upf
ATOMIC_POSITIONS crystal
Ga 0.250 0.250 0.250
Sc 0.000 0.000 0.000
Ir 0.750 0.750 0.750
CELL_PARAMETERS angstrom
0.000 3.101 3.101
3.101 0.000 3.101
3.101 3.101 0.000

***

! InCu2Sb (PBE-GGA, optimized geometry); values from VASP
! V ... 296.0 Å³/cell
! Calculated total energy ... -0.123 hartree per atom
&SYSTEM
  ibrav = 0, nat = 16, ntyp = 3
/
ATOMIC_SPECIES
In 114.82 In.upf
Sb 121.76 Sb.upf
Cu 63.55 Cu.upf
ATOMIC_POSITIONS crystal
In 0.500 0.500 0.500
In 0.500 0.000 0.500
In 0.500 0.500 0.000
In 0.000 0.500 0.500
Sb 0.500 0.000 0.000
Sb 0.000 0.500 0.000
Sb 0.000 0.000 0.500
Sb 0.000 0.000 0.000
Cu 0.254 0.746 0.254
Cu 0.746 0.746 0.254
Cu 0.254 0.254 0.746
Cu 0.746 0.254 0.254
Cu 0.254 0.254 0.254
Cu 0.254 0.746 0.746
Cu 0.746 0.254 0.746
Cu 0.746 0.746 0.746
CELL_PARAMETERS angstrom
-1.364 1.907 6.239
-6.179 -2.423 -0.610
2.093 -5.909 2.264